Version P
# CdBiSeN2 PBE relaxed
data_CdBiSeN2
_cell_length_a 4.348
_cell_length_b 4.348
_cell_length_c 5.619
_cell_angle_alpha 90.00
_cell_angle_beta 90.00
_cell_angle_gamma 90.00
_space_group_name_H-M_alt 'P 4/m m m'
_space_group_IT_number 123
_space_group_name_Hall '-P 4 2'
loop_
_atom_site_label
_atom_site_type_symbol
_atom_site_fract_x
_atom_site_fract_y
_atom_site_fract_z
_atom_site_occupancy
Cd1 Cd 0.000 0.000 0.000 1
Bi1 Bi 0.500 0.500 0.500 1
Se1 Se 0.000 0.000 0.500 1
N1 N 0.000 0.500 0.000 1
# V, Å³/f.u.: 106.2
# DOS at the Fermi energy, states/eV/atom: 0.507


Version Q
# CdBiSeN2 PBE relaxed
data_CdBiSeN2
_cell_length_a 4.311
_cell_length_b 4.311
_cell_length_c 6.027
_cell_angle_alpha 90.00
_cell_angle_beta 90.00
_cell_angle_gamma 90.00
_space_group_name_H-M_alt 'P 4/m m m'
_space_group_IT_number 123
_space_group_name_Hall '-P 4 2'
loop_
_atom_site_label
_atom_site_type_symbol
_atom_site_fract_x
_atom_site_fract_y
_atom_site_fract_z
_atom_site_occupancy
Cd1 Cd 0.000 0.000 0.000 1
Bi1 Bi 0.500 0.500 0.500 1
Se1 Se 0.500 0.500 0.000 1
N1 N 0.000 0.500 0.500 1
# V, Å³/f.u.: 112.0
# DOS at the Fermi energy, states/eV/atom: 0.781


The least stable of the structures above is version P, whereas version Q is the most stable.